[1]
A plane-wave DFT calculation with GGA-PBE was carried out for a relaxed Tb2TlPd4 crystal.

The space group is I4/mmm (No. 139) and the conventional cell measures 4.098, 4.098 and 18.352 Å, with angles of 90.00, 90.00 and 90.00 degrees. The inequivalent atoms are Tb at (0.000, 0.000, 0.130), Tl at (0.000, 0.000, 0.500), Pd at (0.000, 0.000, 0.354) and Pd at (0.000, 0.500, 0.250).

The magnetic moment comes out at 0.00 Bohr magnetons per cell. The formation energy from the elements is -0.6997 eV/atom.

=====

[2]
A plane-wave DFT calculation with GGA-PBE was carried out for a relaxed TbTl3Pd7 crystal.

The space group is C2/m (No. 12) and the conventional cell measures 8.682, 9.812 and 5.631 Å, with angles of 90.00, 112.54 and 90.00 degrees. The inequivalent atoms are Tb at (0.000, 0.000, 0.000), Tl at (0.000, 0.273, 0.500), Tl at (0.000, 0.500, 0.000), Pd at (0.000, 0.000, 0.500), Pd at (0.174, 0.260, 0.176) and Pd at (0.200, 0.500, 0.549).

The magnetic moment comes out at 0.00 Bohr magnetons per cell. The formation energy from the elements is -0.2298 eV/atom.